Entry 1:
A plane-wave DFT calculation with PBE-GGA was carried out for La4Te2PtBr after structural relaxation.

Its formation energy (no corrections) is -1.428 eV/atom.

Unit cell a=7.779 b=4.322 c=7.922 alpha=90.00 beta=108.83 gamma=90.00
Element x y z (fractional)
La 0.221 0.000 0.220
La 0.247 0.500 0.760
La 0.753 0.500 0.240
La 0.779 0.000 0.780
Te 0.000 0.000 0.500
Te 0.500 0.500 0.500
Pt 0.000 0.500 0.000
Br 0.500 0.000 0.000

=====

Entry 2:
A plane-wave DFT calculation with PBE-GGA was carried out for MnTe2Au after structural relaxation.

Its formation energy (no corrections) is 0.197 eV/atom. The energy above the lowest structure with this stoichiometry comes out at 27.7 kJ per mole of atoms.

Unit cell a=3.871 b=3.982 c=7.317 alpha=90.00 beta=90.00 gamma=90.00
Element x y z (fractional)
Mn 0.000 0.000 0.000
Te 0.500 0.000 0.500
Te 0.500 0.500 0.000
Au 0.000 0.500 0.500

=====

Entry 3:
A plane-wave DFT calculation with PBE-GGA was carried out for Tl7Sn3Hg2 after structural relaxation.

Its energy of formation from the pure elements is 0.073 eV per atom.

Unit cell a=5.563 b=3.368 c=19.394 alpha=90.00 beta=93.59 gamma=90.00
Element x y z (fractional)
Tl 0.000 0.000 0.000
Tl 0.176 0.500 0.209
Tl 0.259 0.500 0.543
Tl 0.341 0.000 0.855
Tl 0.659 0.000 0.145
Tl 0.741 0.500 0.457
Tl 0.824 0.500 0.791
Sn 0.224 0.000 0.371
Sn 0.500 0.500 0.000
Sn 0.776 0.000 0.629
Hg 0.301 0.500 0.702
Hg 0.699 0.500 0.298

=====

Entry 4:
A plane-wave DFT calculation with PBE-GGA was carried out for La2AlVGe6 after structural relaxation.

Its energy of formation from the pure elements is -0.377 eV per atom.

Unit cell a=12.507 b=12.507 c=12.507 alpha=29.56 beta=29.56 gamma=29.56
Element x y z (fractional)
La 0.111 0.111 0.111
La 0.291 0.291 0.291
La 0.709 0.709 0.709
La 0.889 0.889 0.889
Al 0.428 0.428 0.428
Al 0.572 0.572 0.572
V 0.000 0.000 0.000
V 0.500 0.500 0.500
Ge 0.065 0.668 0.668
Ge 0.228 0.228 0.662
Ge 0.228 0.662 0.228
Ge 0.332 0.332 0.935
Ge 0.332 0.935 0.332
Ge 0.338 0.772 0.772
Ge 0.662 0.228 0.228
Ge 0.668 0.065 0.668
Ge 0.668 0.668 0.065
Ge 0.772 0.338 0.772
Ge 0.772 0.772 0.338
Ge 0.935 0.332 0.332

=====

Entry 5:
A plane-wave DFT calculation with PBE-GGA was carried out for TiMnMo after structural relaxation.

Its energy of formation from the pure elements is -0.059 eV per atom. The energy above the lowest structure with this stoichiometry comes out at 0.0 kJ per mole of atoms.

Unit cell a=4.205 b=4.205 c=2.770 alpha=90.00 beta=90.00 gamma=120.00
Element x y z (fractional)
Ti 0.000 0.000 0.000
Mn 0.667 0.333 0.658
Mo 0.333 0.667 0.351

=====

Entry 6:
A plane-wave DFT calculation with PBE-GGA was carried out for CdReAsF2 after structural relaxation.

Its formation energy (no corrections) is -0.210 eV/atom.

Unit cell a=4.139 b=4.139 c=5.151 alpha=90.00 beta=90.00 gamma=90.00
Element x y z (fractional)
Cd 0.000 0.000 0.000
Re 0.500 0.500 0.000
As 0.500 0.500 0.500
F 0.000 0.500 0.500
F 0.500 0.000 0.500

=====

Entry 7:
A plane-wave DFT calculation with PBE-GGA was carried out for CaBe2SN after structural relaxation.

Its formation energy (no corrections) is 0.543 eV/atom.

Unit cell a=3.793 b=3.793 c=5.496 alpha=90.00 beta=90.00 gamma=90.00
Element x y z (fractional)
Ca 0.000 0.000 0.000
Be 0.000 0.500 0.500
Be 0.500 0.000 0.500
S 0.000 0.000 0.500
N 0.500 0.500 0.000

=====

Entry 8:
A plane-wave DFT calculation with PBE-GGA was carried out for Na2Hg3H4 after structural relaxation.

The value obtained for the electronic total energy is -1.841 eV per atom.

Unit cell a=5.764 b=7.972 c=8.054 alpha=70.94 beta=80.20 gamma=70.07
Element x y z (fractional)
Na 0.170 0.153 0.026
Na 0.315 0.247 0.520
Na 0.685 0.753 0.480
Na 0.830 0.847 0.974
Hg 0.240 0.575 0.745
Hg 0.244 0.698 0.324
Hg 0.366 0.847 0.812
Hg 0.634 0.153 0.188
Hg 0.756 0.302 0.676
Hg 0.760 0.425 0.255
H 0.090 0.063 0.760
H 0.090 0.409 0.745
H 0.368 0.087 0.307
H 0.389 0.818 0.046
H 0.611 0.182 0.954
H 0.632 0.913 0.693
H 0.910 0.591 0.255
H 0.910 0.937 0.240

=====

Entry 9:
A plane-wave DFT calculation with PBE-GGA was carried out for KHf2RhC after structural relaxation.

Its energy of formation from the pure elements is 1.712 eV per atom.

Unit cell a=4.880 b=4.880 c=6.469 alpha=90.00 beta=90.00 gamma=90.00
Element x y z (fractional)
K 0.000 0.000 0.000
Hf 0.000 0.500 0.500
Hf 0.500 0.000 0.500
Rh 0.000 0.000 0.500
C 0.500 0.500 0.000

=====

Entry 10:
A plane-wave DFT calculation with PBE-GGA was carried out for Pm12Y2Er5 after structural relaxation.

Its energy of formation from the pure elements is 0.148 eV per atom. The energy above the lowest structure with this stoichiometry comes out at 1.2 kJ per mole of atoms.

Unit cell a=11.569 b=11.569 c=6.533 alpha=90.95 beta=90.95 gamma=47.62
Element x y z (fractional)
Pm 0.032 0.376 0.332
Pm 0.059 0.059 0.161
Pm 0.178 0.551 0.116
Pm 0.366 0.366 0.604
Pm 0.376 0.032 0.332
Pm 0.449 0.822 0.884
Pm 0.551 0.178 0.116
Pm 0.624 0.968 0.668
Pm 0.634 0.634 0.396
Pm 0.822 0.449 0.884
Pm 0.941 0.941 0.839
Pm 0.968 0.624 0.668
Y 0.300 0.700 0.500
Y 0.700 0.300 0.500
Er 0.094 0.094 0.648
Er 0.236 0.236 0.862
Er 0.500 0.500 0.000
Er 0.764 0.764 0.138
Er 0.906 0.906 0.352

=====

Entry 11:
A plane-wave DFT calculation with PBE-GGA was carried out for Cs2TmSi2S6 after structural relaxation.

Its formation energy (no corrections) is -1.064 eV/atom.

Unit cell a=7.224 b=7.224 c=7.939 alpha=117.02 beta=117.02 gamma=59.99
Element x y z (fractional)
Cs 0.227 0.227 0.210
Cs 0.773 0.773 0.790
Tm 0.000 0.000 0.500
Si 0.444 0.444 0.805
Si 0.556 0.556 0.195
S 0.237 0.727 0.236
S 0.253 0.253 0.705
S 0.273 0.763 0.764
S 0.727 0.237 0.236
S 0.747 0.747 0.295
S 0.763 0.273 0.764

=====

Entry 12:
A plane-wave DFT calculation with PBE-GGA was carried out for Th2Si3Ni4Pd after structural relaxation.

Its formation energy (no corrections) is -0.755 eV/atom.

Unit cell a=4.037 b=4.037 c=9.952 alpha=90.00 beta=90.00 gamma=90.00
Element x y z (fractional)
Th 0.000 0.500 0.247
Th 0.500 0.000 0.753
Si 0.000 0.500 0.880
Si 0.500 0.000 0.120
Si 0.500 0.500 0.500
Ni 0.000 0.000 0.000
Ni 0.000 0.500 0.647
Ni 0.500 0.000 0.353
Ni 0.500 0.500 0.000
Pd 0.000 0.000 0.500

=====

> Which formula does entry 7 have?

CaBe2SN